Mg2TaFePb after structural relaxation. Source: Alexandria via LeMat-Bulk, functional GGA-PBEsol.

Unit cell a=4.322 b=5.423 c=5.423 alpha=90.00 beta=90.00 gamma=90.00
Each line ends with the local moment (μB).
Atoms (fractional coordinates):
Mg (0.000, 0.500, 0.000)  0.00
Mg (0.000, 0.000, 0.500)  0.00
Pb (0.500, 0.500, 0.500)  0.01
Ta (0.000, 0.000, 0.000)  -0.39
Fe (0.500, 0.000, 0.000)  1.46

As for the symmetry: P4/mmm, No. 123. For the energy of formation from the pure elements, the calculation gives 1.144 eV/atom. As for the density: 6.43 g cm⁻³. Its magnetization is 1.0 μB/cell.

ReRu2Au after structural relaxation. Source: Alexandria via LeMat-Bulk, functional GGA-PBEsol.

Unit cell a=2.731 b=3.804 c=5.569 alpha=90.00 beta=90.00 gamma=90.00
Atoms (fractional coordinates):
Re (0.500, 0.500, 0.500)
Ru (0.000, 0.000, 0.731)
Ru (0.000, 0.000, 0.269)
Au (0.500, 0.500, 0.000)

As for the symmetry: Pmmm, No. 47. For the energy of formation from the pure elements, the calculation gives 0.217 eV/atom. As for the density: 16.80 g cm⁻³. Its magnetization is 0.0 μB/cell. For the energy above the most stable polymorph in this dataset, the calculation gives 0.33 eV per formula unit.

BAs2RuBr after structural relaxation. Source: Alexandria via LeMat-Bulk, functional GGA-PBEsol.

Unit cell a=4.195 b=4.195 c=4.473 alpha=90.00 beta=90.00 gamma=90.00
Atoms (fractional coordinates):
Ru (0.500, 0.500, 0.500)
B (0.000, 0.000, 0.000)
As (0.500, 0.000, 0.000)
As (0.000, 0.500, 0.000)
Br (0.000, 0.000, 0.500)

As for the symmetry: P4/mmm, No. 123. As for the density: 7.21 g cm⁻³. Its magnetization is 0.0 μB/cell. Its uncorrected formation energy is 1.10 eV/atom. For the energy above the most stable polymorph in this dataset, the calculation gives 0.00 eV per formula unit.

Fe after structural relaxation. Source: Alexandria via LeMat-Bulk, functional GGA-PBEsol.

Unit cell a=2.407 b=2.407 c=2.407 alpha=109.47 beta=109.47 gamma=109.47
Each line ends with the local moment (μB).
Atoms (fractional coordinates):
Fe (0.000, 0.000, 0.000)  2.12

As for the symmetry: Im-3m, No. 229. For the energy of formation from the pure elements, the calculation gives 0.031 eV/atom. As for the density: 8.64 g cm⁻³. Its magnetization is 2.1 μB/cell. For the energy above the most stable polymorph in this dataset, the calculation gives 0.03 eV per formula unit.

Ti2BiS after structural relaxation. Source: Alexandria via LeMat-Bulk, functional GGA-PBEsol.

Unit cell a=5.380 b=5.380 c=7.651 alpha=110.59 beta=110.59 gamma=90.00
Atoms (fractional coordinates):
Bi (0.250, 0.750, 0.500)
Bi (0.000, 0.000, 0.000)
S (0.500, 0.500, 0.000)
S (0.750, 0.250, 0.500)
Ti (0.125, 0.212, 0.750)
Ti (0.462, 0.875, 0.250)
Ti (0.788, 0.375, 0.250)
Ti (0.625, 0.538, 0.750)

As for the symmetry: I-42d, No. 122. As for the density: 5.82 g cm⁻³. Its magnetization is 0.0 μB/cell. Its uncorrected formation energy is -0.22 eV/atom. For the energy above the most stable polymorph in this dataset, the calculation gives 0.64 eV per formula unit.

RbTi3Hg after structural relaxation. Source: Alexandria via LeMat-Bulk, functional GGA-PBEsol.

Unit cell a=5.247 b=5.247 c=5.247 alpha=90.00 beta=90.00 gamma=90.00
Each line ends with the local moment (μB).
Atoms (fractional coordinates):
Ti (0.000, 0.500, 0.000)  1.39
Ti (0.000, 0.000, 0.500)  1.39
Ti (0.500, 0.000, 0.000)  1.39
Rb (0.500, 0.500, 0.500)  0.07
Hg (0.000, 0.000, 0.000)  0.06

As for the symmetry: Pm-3m, No. 221. For the energy of formation from the pure elements, the calculation gives 1.255 eV/atom. As for the density: 4.94 g cm⁻³. Its magnetization is 5.9 μB/cell.

Ca2BeW after structural relaxation. Source: Alexandria via LeMat-Bulk, functional GGA-PBEsol.

Unit cell a=3.267 b=3.267 c=8.325 alpha=90.00 beta=90.00 gamma=90.00
Atoms (fractional coordinates):
Ca (0.500, 0.500, 0.325)
Ca (0.000, 0.000, 0.928)
Be (0.500, 0.500, 0.661)
W (0.000, 0.000, 0.585)

As for the symmetry: P4mm, No. 99. For the energy of formation from the pure elements, the calculation gives 0.556 eV/atom. As for the density: 5.10 g cm⁻³. Its magnetization is 0.0 μB/cell.

ZnSiSe2 after structural relaxation. Source: Alexandria via LeMat-Bulk, functional GGA-PBEsol.

Unit cell a=3.768 b=3.792 c=5.291 alpha=90.00 beta=90.00 gamma=90.83
Atoms (fractional coordinates):
Zn (0.887, 0.859, 0.500)
Si (0.385, 0.356, 0.000)
Se (0.859, 0.902, 0.000)
Se (0.370, 0.384, 0.500)

As for the symmetry: Pm, No. 6. As for the density: 5.52 g cm⁻³. Its magnetization is 0.0 μB/cell. Its uncorrected formation energy is -0.24 eV/atom.

NiTeCN2 after structural relaxation. Source: Alexandria via LeMat-Bulk, functional GGA-PBEsol.

Unit cell a=3.256 b=3.256 c=6.476 alpha=90.00 beta=90.00 gamma=90.00
Atoms (fractional coordinates):
Te (0.000, 0.000, 0.500)
N (0.000, 0.500, 0.000)
N (0.500, 0.000, 0.000)
Ni (0.500, 0.500, 0.500)
C (0.000, 0.000, 0.000)

As for the symmetry: P4/mmm, No. 123. As for the density: 5.47 g cm⁻³. Its magnetization is 0.0 μB/cell. Its uncorrected formation energy is 2.09 eV/atom.

TaTe2 after structural relaxation. Source: Alexandria via LeMat-Bulk, functional GGA-PBEsol.

Unit cell a=3.604 b=6.687 c=7.374 alpha=110.58 beta=90.00 gamma=105.63
Atoms (fractional coordinates):
Te (0.474, 0.948, 0.258)
Te (0.208, 0.417, 0.247)
Te (0.792, 0.583, 0.753)
Te (0.526, 0.052, 0.742)
Ta (0.122, 0.244, 0.550)
Ta (0.878, 0.756, 0.450)

As for the symmetry: C2/m, No. 12. As for the density: 9.09 g cm⁻³. Its magnetization is 0.0 μB/cell. Its uncorrected formation energy is -0.33 eV/atom.

CaScSi after structural relaxation. Source: Alexandria via LeMat-Bulk, functional GGA-PBEsol.

Unit cell a=3.461 b=3.461 c=7.083 alpha=90.00 beta=90.00 gamma=120.00
Atoms (fractional coordinates):
Si (0.333, 0.667, 0.346)
Sc (0.667, 0.333, 0.608)
Ca (0.000, 0.000, 0.046)

As for the symmetry: P3m1, No. 156. As for the density: 2.56 g cm⁻³. Its magnetization is 0.0 μB/cell. Its uncorrected formation energy is -0.09 eV/atom.

TcIrRh2 after structural relaxation. Source: Alexandria via LeMat-Bulk, functional GGA-PBEsol.

Unit cell a=2.677 b=3.801 c=5.372 alpha=90.00 beta=90.00 gamma=90.00
Atoms (fractional coordinates):
Rh (0.500, 0.500, 0.252)
Rh (0.000, 0.000, 0.001)
Tc (0.000, 0.000, 0.501)
Ir (0.500, 0.500, 0.746)

As for the symmetry: Pmm2, No. 25. For the energy of formation from the pure elements, the calculation gives -0.117 eV/atom. As for the density: 15.07 g cm⁻³. Its magnetization is 0.0 μB/cell. For the energy above the most stable polymorph in this dataset, the calculation gives 0.00 eV per formula unit.

SrAsOs2 after structural relaxation. Source: Alexandria via LeMat-Bulk, functional GGA-PBEsol.

Unit cell a=3.072 b=3.072 c=8.861 alpha=80.02 beta=80.02 gamma=60.00
Atoms (fractional coordinates):
As (0.500, 0.500, 0.500)
Sr (0.000, 0.000, 0.000)
Os (0.766, 0.766, 0.702)
Os (0.234, 0.234, 0.298)

As for the symmetry: R-3m, No. 166. For the energy of formation from the pure elements, the calculation gives 0.807 eV/atom. As for the density: 12.70 g cm⁻³. Its magnetization is 0.0 μB/cell.